# TaZnRh SCAN single point on PBEsol structure
# Energy (eV/atom): -38.283
# Density of states at the Fermi level (states/eV/cell): 4.61
# DFT formation energy (kcal/mol of atoms): -7.54
data_TaZnRh
_cell_length_a 2.9029
_cell_length_b 2.9029
_cell_length_c 10.4612
_cell_angle_alpha 90.00
_cell_angle_beta 90.00
_cell_angle_gamma 90.00
_symmetry_space_group_name_H-M 'I 4 m m'
_symmetry_Int_Tables_number 107
_symmetry_space_group_name_Hall 'I 4 -2'
loop_
_atom_site_label
_atom_site_fract_x
_atom_site_fract_y
_atom_site_fract_z
Ta1 0.0000 0.0000 0.0000
Zn1 0.0000 0.0000 0.3189
Rh1 0.0000 0.0000 0.6676

=====

# CuHCl2 SCAN single point on PBEsol structure
# Energy (eV/atom): -8.474
data_CuHCl2
_cell_length_a 3.3082
_cell_length_b 3.3082
_cell_length_c 19.7674
_cell_angle_alpha 90.00
_cell_angle_beta 90.00
_cell_angle_gamma 120.00
_symmetry_space_group_name_H-M 'R -3 m'
_symmetry_Int_Tables_number 166
_symmetry_space_group_name_Hall '-R 3 2"'
loop_
_atom_site_label
_atom_site_fract_x
_atom_site_fract_y
_atom_site_fract_z
Cu1 0.0000 0.0000 0.0000
H1 0.0000 0.0000 0.5000
Cl1 0.0000 0.0000 0.1052

=====

# P2HSBr SCAN single point on PBEsol structure
# Energy (eV/atom): -8.711
# Density of states at the Fermi level (states/eV/cell): 2.72
data_P2HSBr
_cell_length_a 4.9045
_cell_length_b 4.9045
_cell_length_c 4.8761
_cell_angle_alpha 90.00
_cell_angle_beta 90.00
_cell_angle_gamma 90.00
_symmetry_space_group_name_H-M 'P 4/m m m'
_symmetry_Int_Tables_number 123
_symmetry_space_group_name_Hall '-P 4 2'
loop_
_atom_site_label
_atom_site_fract_x
_atom_site_fract_y
_atom_site_fract_z
P1 0.0000 0.5000 0.0000
H1 0.0000 0.0000 0.5000
S1 0.5000 0.5000 0.5000
Br1 0.5000 0.5000 0.0000

=====

# NaAgCl3 SCAN single point on PBEsol structure
# Energy (eV/atom): -12.891
# Density of states at the Fermi level (states/eV/cell): 1.10
# ΔE_f (raw) (eV per atom): -0.988
data_NaAgCl3
_cell_length_a 4.9633
_cell_length_b 4.9633
_cell_length_c 4.9633
_cell_angle_alpha 90.00
_cell_angle_beta 90.00
_cell_angle_gamma 90.00
_symmetry_space_group_name_H-M 'P m -3 m'
_symmetry_Int_Tables_number 221
_symmetry_space_group_name_Hall '-P 4 2 3'
loop_
_atom_site_label
_atom_site_fract_x
_atom_site_fract_y
_atom_site_fract_z
Na1 0.0000 0.0000 0.0000
Ag1 0.5000 0.5000 0.5000
Cl1 0.0000 0.5000 0.5000